The following is a DFT calculation (PBE) of an optimized crystal structure of U2ZnSi2Ir5.

POSCAR file:
```
U2ZnSi2Ir5
1.0
9.605 0.000 0.000
0.000 9.605 0.000
0.000 0.000 3.614
U Zn Si Ir
4 2 4 10
Direct
0.178 0.322 0.000
0.322 0.822 0.000
0.678 0.178 0.000
0.822 0.678 0.000
0.000 0.000 0.000
0.500 0.500 0.000
0.123 0.623 0.000
0.377 0.123 0.000
0.623 0.877 0.000
0.877 0.377 0.000
0.000 0.500 0.500
0.068 0.789 0.500
0.211 0.068 0.500
0.289 0.568 0.500
0.432 0.289 0.500
0.500 0.000 0.500
0.568 0.711 0.500
0.711 0.432 0.500
0.789 0.932 0.500
0.932 0.211 0.500
```

Fermi-level density of states = 15.48 states/eV/f.u.
formation energy from raw total energies = -436 meV per atom